Model one:
{
  "formula": "Li2CuRe",
  "functional": "GGA-PBE",
  "state": "optimized geometry",
  "lattice": [[1.4844, -2.0850, 0.0000], [1.4844, 2.0850, 0.0000], [0.0000, 0.0000, 8.9507]],
  "species": ["Li", "Li", "Cu", "Re"],
  "fractional_positions": [[0.0000, 0.0000, 0.2440], [0.0000, 0.0000, 0.7560], [0.5000, 0.5000, 0.0000], [0.5000, 0.5000, 0.5000]],
  "dos_ef_per_ev_cell": 2.4,
  "spacegroup": "Cmmm"
}

=====

Model two:
{
  "formula": "Li2CuRe",
  "functional": "GGA-PBE",
  "state": "optimized geometry",
  "lattice": [[2.5468, 0.0000, 0.0000], [0.0000, 2.5468, 0.0000], [0.0000, 0.0000, 8.3297]],
  "species": ["Li", "Li", "Cu", "Re"],
  "fractional_positions": [[0.0000, 0.0000, 0.2398], [0.0000, 0.0000, 0.7602], [0.5000, 0.5000, 0.0000], [0.5000, 0.5000, 0.5000]],
  "dos_ef_per_ev_cell": 1.4,
  "spacegroup": "P4/mmm"
}

=====

Model three:
{
  "formula": "Li2CuRe",
  "functional": "GGA-PBE",
  "state": "optimized geometry",
  "lattice": [[2.4620, 0.0000, 0.0000], [0.0000, 4.5619, 0.0000], [-0.1978, 0.0000, 4.8147]],
  "species": ["Li", "Li", "Cu", "Re"],
  "fractional_positions": [[0.1319, 0.0000, 0.2405], [0.8681, 0.0000, 0.7595], [0.0000, 0.5000, 0.5000], [0.5000, 0.5000, 0.0000]],
  "dos_ef_per_ev_cell": 2.0,
  "spacegroup": "P2/m"
}

=====

Energies, relative to the best one, in kJ/mol of atoms: model one 0.0; model two 1.1; model three 10.0.

=====

Model one:
{
  "formula": "Li2CuRe",
  "functional": "GGA-PBE",
  "state": "optimized geometry",
  "lattice": [[-1.2559, 2.3175, 4.6571], [1.2559, -2.3175, 4.6571], [1.2559, 2.3175, -4.6571]],
  "species": ["Li", "Li", "Cu", "Re"],
  "fractional_positions": [[0.2350, 0.2350, 0.0000], [0.7650, 0.7650, 0.0000], [0.0000, 0.5000, 0.5000], [0.5000, 0.0000, 0.5000]],
  "dos_ef_per_ev_cell": 3.2,
  "spacegroup": "Immm"
}

=====

Model two:
{
  "formula": "Li2CuRe",
  "functional": "GGA-PBE",
  "state": "optimized geometry",
  "lattice": [[4.9247, -1.2436, 0.0000], [4.9247, 1.2436, 0.0000], [-2.0753, 0.0000, 4.4989]],
  "species": ["Li", "Li", "Cu", "Re"],
  "fractional_positions": [[0.0000, 0.0000, 0.0000], [0.2373, 0.2373, 0.9274], [0.7339, 0.7339, 0.4413], [0.4767, 0.4767, 0.4806]],
  "dos_ef_per_ev_cell": 3.7,
  "spacegroup": "Cm"
}

=====

Model three:
{
  "formula": "Li2CuRe",
  "functional": "GGA-PBE",
  "state": "optimized geometry",
  "lattice": [[4.6169, 0.0000, 0.0000], [0.0000, 4.6169, 0.0000], [0.0000, 0.0000, 2.4809]],
  "species": ["Li", "Li", "Cu", "Re"],
  "fractional_positions": [[0.0000, 0.5000, 0.0000], [0.5000, 0.0000, 0.0000], [0.0000, 0.0000, 0.5000], [0.5000, 0.5000, 0.5000]],
  "dos_ef_per_ev_cell": 2.1,
  "spacegroup": "P4/mmm"
}

=====

Energies, relative to the best one, in kJ/mol of atoms: model one 0.0; model two 3.5; model three 25.9.

=====

Model one:
{
  "formula": "Li2CuRe",
  "functional": "GGA-PBE",
  "state": "optimized geometry",
  "lattice": [[3.5700, 0.0000, 0.0000], [0.0000, 3.5700, 0.0000], [0.0000, 0.0000, 4.2822]],
  "species": ["Li", "Li", "Cu", "Re"],
  "fractional_positions": [[0.0000, 0.5000, 0.0000], [0.5000, 0.0000, 0.0000], [0.0000, 0.0000, 0.5000], [0.5000, 0.5000, 0.5000]],
  "dos_ef_per_ev_cell": 2.5,
  "spacegroup": "P4/mmm"
}

=====

Model two:
{
  "formula": "Li2CuRe",
  "functional": "GGA-PBE",
  "state": "optimized geometry",
  "lattice": [[-3.2688, 3.2688, 2.4793], [3.2688, -3.2688, 2.4793], [3.2688, 3.2688, -2.4793]],
  "species": ["Li", "Li", "Li", "Li", "Cu", "Cu", "Re", "Re"],
  "fractional_positions": [[0.0993, 0.1250, 0.4743], [0.3750, 0.9007, 0.0257], [0.6507, 0.6250, 0.5257], [0.8750, 0.3493, 0.9743], [0.0000, 0.0000, 0.0000], [0.7500, 0.2500, 0.5000], [0.2500, 0.7500, 0.5000], [0.5000, 0.5000, 0.0000]],
  "dos_ef_per_ev_cell": 5.7,
  "spacegroup": "I-42d"
}

=====

Model three:
{
  "formula": "Li2CuRe",
  "functional": "GGA-PBE",
  "state": "optimized geometry",
  "lattice": [[2.5083, 0.0000, 0.0000], [0.0000, 4.6457, 0.0000], [0.0000, 0.0000, 4.6830]],
  "species": ["Li", "Li", "Cu", "Re"],
  "fractional_positions": [[0.0000, 0.0000, 0.0000], [0.5000, 0.5000, 0.0000], [0.0000, 0.5000, 0.5000], [0.5000, 0.0000, 0.5000]],
  "dos_ef_per_ev_cell": 2.3,
  "spacegroup": "Pmmm"
}

=====

Model four:
{
  "formula": "Li2CuRe",
  "functional": "GGA-PBE",
  "state": "optimized geometry",
  "lattice": [[2.5648, 0.0000, 0.0000], [0.0000, 2.5648, 0.0000], [0.0000, 0.0000, 8.8880]],
  "species": ["Li", "Li", "Cu", "Re"],
  "fractional_positions": [[0.0000, 0.0000, 0.0000], [0.5000, 0.5000, 0.2986], [0.5000, 0.5000, 0.7732], [0.0000, 0.0000, 0.5422]],
  "dos_ef_per_ev_cell": 2.8,
  "spacegroup": "P4mm"
}

=====

Energies, relative to the best one, in kJ/mol of atoms: model one 35.6; model two 63.8; model three 7.3; model four 0.0.

=====

Model one:
{
  "formula": "Li2CuRe",
  "functional": "GGA-PBE",
  "state": "optimized geometry",
  "lattice": [[4.7502, -1.2545, 0.0000], [4.7502, 1.2545, 0.0000], [-1.1211, 0.0000, 4.5476]],
  "species": ["Li", "Li", "Cu", "Re"],
  "fractional_positions": [[0.2403, 0.2403, 0.2513], [0.7597, 0.7597, 0.7487], [0.5000, 0.5000, 0.0000], [0.0000, 0.0000, 0.5000]],
  "dos_ef_per_ev_cell": 2.2,
  "spacegroup": "C2/m"
}

=====

Model two:
{
  "formula": "Li2CuRe",
  "functional": "GGA-PBE",
  "state": "optimized geometry",
  "lattice": [[-1.7765, 1.7765, 4.3747], [1.7765, -1.7765, 4.3747], [1.7765, 1.7765, -4.3747]],
  "species": ["Li", "Li", "Cu", "Re"],
  "fractional_positions": [[0.2500, 0.7500, 0.5000], [0.7500, 0.2500, 0.5000], [0.0000, 0.0000, 0.0000], [0.5000, 0.5000, 0.0000]],
  "dos_ef_per_ev_cell": 4.0,
  "spacegroup": "I4/mmm"
}

=====

Energies, relative to the best one, in kJ/mol of atoms: model one 0.0; model two 35.5.